DFT (GGA-PBE) results for an optimized crystal structure of MgCrSnCl6.

Cell: 6.480 6.480 12.475 Å, 90.00 90.00 120.00°
Element x y z (fractional)
Mg: 0.333 0.667 0.250
Mg: 0.667 0.333 0.750
Cr: 0.333 0.667 0.750
Cr: 0.667 0.333 0.250
Sn: 0.000 0.000 0.000
Sn: 0.000 0.000 0.500
Cl: 0.004 0.362 0.637
Cl: 0.004 0.642 0.863
Cl: 0.358 0.362 0.863
Cl: 0.358 0.996 0.637
Cl: 0.362 0.004 0.137
Cl: 0.362 0.358 0.363
Cl: 0.638 0.642 0.637
Cl: 0.638 0.996 0.863
Cl: 0.642 0.004 0.363
Cl: 0.642 0.638 0.137
Cl: 0.996 0.358 0.137
Cl: 0.996 0.638 0.363

Properties
Total moment = 0.44 μB per atom
Raw formation energy = -1.2296 eV/atom

***

DFT (GGA-PBE) results for an optimized crystal structure of Mg2CrTeCl.

Cell: 5.451 5.451 4.789 Å, 90.00 90.00 90.00°
Element x y z (fractional)
Mg: 0.000 0.500 0.000
Mg: 0.500 0.000 0.000
Cr: 0.000 0.000 0.000
Te: 0.000 0.000 0.500
Cl: 0.500 0.500 0.500

Properties
Energy above the most stable polymorph in this dataset = 0.000 eV/atom
Total moment = 0.57 μB per atom
Raw formation energy = 0.0343 eV/atom

***

DFT (GGA-PBE) results for an optimized crystal structure of Mg2CrTeCl.

Cell: 5.827 5.827 5.214 Å, 90.00 90.00 90.00°
Element x y z (fractional)
Mg: 0.000 0.500 0.000
Mg: 0.500 0.000 0.000
Cr: 0.000 0.000 0.500
Te: 0.000 0.000 0.000
Cl: 0.500 0.500 0.500

Properties
Energy above the most stable polymorph in this dataset = 0.220 eV/atom
Total moment = 0.93 μB per atom
Raw formation energy = 0.2543 eV/atom

***

DFT (GGA-PBE) results for an optimized crystal structure of MgTlCrCl6.

Cell: 8.987 8.987 8.987 Å, 120.75 120.29 89.10°
Element x y z (fractional)
Mg: 0.500 0.000 0.000
Mg: 0.500 0.500 0.500
Tl: 0.178 0.428 0.750
Tl: 0.822 0.572 0.250
Cr: 0.000 0.000 0.000
Cr: 0.500 0.000 0.500
Cl: 0.163 0.316 0.234
Cl: 0.163 0.930 0.848
Cl: 0.188 0.938 0.250
Cl: 0.418 0.070 0.734
Cl: 0.418 0.668 0.750
Cl: 0.418 0.684 0.348
Cl: 0.582 0.316 0.652
Cl: 0.582 0.332 0.250
Cl: 0.582 0.930 0.266
Cl: 0.812 0.062 0.750
Cl: 0.837 0.070 0.152
Cl: 0.837 0.684 0.766

Properties
Total moment = 0.33 μB per atom
Raw formation energy = -1.2667 eV/atom

***

DFT (GGA-PBE) results for an optimized crystal structure of MgCrWCl2.

Cell: 4.693 4.693 5.088 Å, 90.00 90.00 90.00°
Element x y z (fractional)
Mg: 0.000 0.000 0.000
Cr: 0.500 0.500 0.500
W: 0.500 0.500 0.000
Cl: 0.000 0.500 0.500
Cl: 0.500 0.000 0.500

Properties
Total moment = 0.03 μB per atom
Raw formation energy = 0.6769 eV/atom

***

DFT (GGA-PBE) results for an optimized crystal structure of MnCrCl6.

Cell: 6.001 12.088 6.002 Å, 90.00 110.20 90.00°
Element x y z (fractional)
Mn: 0.000 0.000 0.000
Mn: 0.500 0.500 0.000
Cr: 0.000 0.500 0.500
Cr: 0.500 0.000 0.500
Cl: 0.236 0.500 0.265
Cl: 0.244 0.133 0.244
Cl: 0.244 0.867 0.244
Cl: 0.256 0.367 0.756
Cl: 0.256 0.633 0.756
Cl: 0.264 0.000 0.735
Cl: 0.736 0.000 0.265
Cl: 0.744 0.367 0.244
Cl: 0.744 0.633 0.244
Cl: 0.756 0.133 0.756
Cl: 0.756 0.867 0.756
Cl: 0.764 0.500 0.735

Properties
Total moment = 0.87 μB per atom
Raw formation energy = -0.9585 eV/atom

***

DFT (GGA-PBE) results for an optimized crystal structure of MnCrCl.

Cell: 3.055 3.055 10.847 Å, 90.00 90.00 90.00°
Element x y z (fractional)
Mn: 0.000 0.000 0.000
Mn: 0.500 0.500 0.500
Cr: 0.000 0.000 0.635
Cr: 0.500 0.500 0.135
Cl: 0.000 0.000 0.309
Cl: 0.500 0.500 0.809

Properties
Energy above the most stable polymorph in this dataset = 0.107 eV/atom
Total moment = 0.02 μB per atom
Raw formation energy = 0.1525 eV/atom

***

DFT (GGA-PBE) results for an optimized crystal structure of Mn2CrCl6.

Cell: 7.128 7.128 7.128 Å, 53.60 53.60 53.60°
Element x y z (fractional)
Mn: 0.181 0.181 0.181
Mn: 0.819 0.819 0.819
Cr: 0.000 0.000 0.000
Cl: 0.076 0.398 0.786
Cl: 0.214 0.924 0.602
Cl: 0.398 0.786 0.076
Cl: 0.602 0.214 0.924
Cl: 0.786 0.076 0.398
Cl: 0.924 0.602 0.214

Properties
Total moment = 1.56 μB per atom
Raw formation energy = -0.9656 eV/atom

***

DFT (GGA-PBE) results for an optimized crystal structure of MnCr2Cl6.

Cell: 8.687 8.687 6.955 Å, 99.81 99.81 62.61°
Element x y z (fractional)
Mn: 0.118 0.882 0.750
Mn: 0.882 0.118 0.250
Cr: 0.107 0.397 0.727
Cr: 0.397 0.107 0.227
Cr: 0.603 0.893 0.773
Cr: 0.893 0.603 0.273
Cl: 0.002 0.816 0.385
Cl: 0.183 0.382 0.368
Cl: 0.184 0.998 0.115
Cl: 0.205 0.603 0.874
Cl: 0.382 0.183 0.868
Cl: 0.397 0.795 0.626
Cl: 0.603 0.205 0.374
Cl: 0.618 0.817 0.132
Cl: 0.795 0.397 0.126
Cl: 0.816 0.002 0.885
Cl: 0.817 0.618 0.632
Cl: 0.998 0.184 0.615

Properties
Total moment = 1.44 μB per atom
Raw formation energy = -0.9071 eV/atom

***

DFT (GGA-PBE) results for an optimized crystal structure of MnCrCl4.

Cell: 7.364 7.364 7.364 Å, 118.88 118.70 92.11°
Element x y z (fractional)
Mn: 0.500 0.000 0.000
Mn: 0.500 0.500 0.500
Cr: 0.000 0.000 0.000
Cr: 0.500 0.000 0.500
Cl: 0.255 0.238 0.483
Cl: 0.255 0.240 0.015
Cl: 0.255 0.773 0.017
Cl: 0.275 0.760 0.515
Cl: 0.725 0.240 0.485
Cl: 0.745 0.227 0.983
Cl: 0.745 0.760 0.985
Cl: 0.745 0.762 0.517

Properties
Energy above the most stable polymorph in this dataset = 0.000 eV/atom
Total moment = 1.50 μB per atom
Raw formation energy = -0.9738 eV/atom

***

DFT (GGA-PBE) results for an optimized crystal structure of MnCrCl.

Cell: 3.240 3.240 5.540 Å, 90.00 90.00 120.00°
Element x y z (fractional)
Mn: 0.000 0.000 0.000
Cr: 0.333 0.667 0.723
Cl: 0.667 0.333 0.366

Properties
Energy above the most stable polymorph in this dataset = 0.000 eV/atom
Total moment = 0.01 μB per atom
Raw formation energy = 0.0455 eV/atom

***

DFT (GGA-PBE) results for an optimized crystal structure of Mn3CrCl.

Cell: 4.570 4.570 4.570 Å, 90.00 90.00 90.00°
Element x y z (fractional)
Mn: 0.000 0.000 0.500
Mn: 0.000 0.500 0.000
Mn: 0.500 0.000 0.000
Cr: 0.000 0.000 0.000
Cl: 0.500 0.500 0.500

Properties
Total moment = 1.59 μB per atom
Raw formation energy = 0.9642 eV/atom

***

DFT (GGA-PBE) results for an optimized crystal structure of MnCrCl.

Cell: 4.255 4.255 3.038 Å, 90.00 90.00 120.00°
Element x y z (fractional)
Mn: 0.000 0.000 0.000
Cr: 0.667 0.333 0.498
Cl: 0.333 0.667 0.001

Properties
Energy above the most stable polymorph in this dataset = 0.374 eV/atom
Total moment = 0.06 μB per atom
Raw formation energy = 0.4193 eV/atom

***

DFT (GGA-PBE) results for an optimized crystal structure of MnCrCl.

Cell: 3.533 5.118 11.283 Å, 90.00 90.00 90.00°
Element x y z (fractional)
Mn: 0.000 0.000 0.000
Mn: 0.000 0.500 0.500
Mn: 0.500 0.000 0.500
Mn: 0.500 0.500 0.000
Cr: 0.000 0.000 0.359
Cr: 0.000 0.500 0.859
Cr: 0.500 0.000 0.859
Cr: 0.500 0.500 0.359
Cl: 0.000 0.000 0.680
Cl: 0.000 0.500 0.180
Cl: 0.500 0.000 0.180
Cl: 0.500 0.500 0.680

Properties
Energy above the most stable polymorph in this dataset = 0.087 eV/atom
Total moment = 0.03 μB per atom
Raw formation energy = 0.1325 eV/atom

***

DFT (GGA-PBE) results for an optimized crystal structure of MnCrCl4.

Cell: 5.853 5.853 5.853 Å, 60.00 60.00 60.00°
Element x y z (fractional)
Mn: 0.000 0.000 0.000
Cr: 0.250 0.250 0.250
Cl: 0.124 0.625 0.625
Cl: 0.625 0.124 0.625
Cl: 0.625 0.625 0.124
Cl: 0.625 0.625 0.625

Properties
Energy above the most stable polymorph in this dataset = 1.703 eV/atom
Total moment = 0.32 μB per atom
Raw formation energy = 0.7294 eV/atom

***

DFT (GGA-PBE) results for an optimized crystal structure of MnCrCl.

Cell: 6.203 6.203 6.203 Å, 90.00 90.00 90.00°
Element x y z (fractional)
Mn: 0.000 0.000 0.000
Mn: 0.000 0.500 0.500
Mn: 0.500 0.000 0.500
Mn: 0.500 0.500 0.000
Cr: 0.250 0.250 0.750
Cr: 0.250 0.750 0.250
Cr: 0.750 0.250 0.250
Cr: 0.750 0.750 0.750
Cl: 0.000 0.000 0.500
Cl: 0.000 0.500 0.000
Cl: 0.500 0.000 0.000
Cl: 0.500 0.500 0.500

Properties
Energy above the most stable polymorph in this dataset = 0.526 eV/atom
Total moment = 0.00 μB per atom
Raw formation energy = 0.5717 eV/atom

***

DFT (GGA-PBE) results for an optimized crystal structure of NaMnCr2Cl8.

Cell: 5.957 7.498 6.138 Å, 90.00 93.08 90.00°
Element x y z (fractional)
Na: 0.000 0.000 0.000
Mn: 0.000 0.500 0.000
Cr: 0.500 0.254 0.500
Cr: 0.500 0.746 0.500
Cl: 0.228 0.268 0.190
Cl: 0.228 0.732 0.190
Cl: 0.293 0.500 0.670
Cl: 0.306 0.000 0.658
Cl: 0.694 0.000 0.342
Cl: 0.707 0.500 0.330
Cl: 0.772 0.268 0.810
Cl: 0.772 0.732 0.810

Properties
Total moment = 1.00 μB per atom
Raw formation energy = -1.1212 eV/atom

***

DFT (GGA-PBE) results for an optimized crystal structure of Mn2CrNiCl.

Cell: 4.721 4.721 4.287 Å, 90.00 90.00 90.00°
Element x y z (fractional)
Mn: 0.000 0.500 0.000
Mn: 0.500 0.000 0.000
Cr: 0.000 0.000 0.500
Ni: 0.000 0.000 0.000
Cl: 0.500 0.500 0.500

Properties
Total moment = 1.92 μB per atom
Raw formation energy = 0.9120 eV/atom